[1]
# PaMnAl4 GGA-PBE optimized geometry
# **Theoretical density**: 6366 kg/m³
# **Total energy**: -5.929 eV per atom
# **E_form**: -0.323 eV/atom
# **D(E_F)**: 0.490 states/eV per atom
data_PaMnAl4
_cell_length_a 7.475
_cell_length_b 4.187
_cell_length_c 6.567
_cell_angle_alpha 90.00
_cell_angle_beta 90.00
_cell_angle_gamma 90.00
_space_group_name_H-M_alt 'P m m a'
_space_group_IT_number 51
loop_
_space_group_symop_operation_xyz
'x,y,z'
'-x,-y,-z'
'-x+1/2,-y,z'
'x+1/2,y,-z'
'x+1/2,-y,-z'
'-x+1/2,y,z'
'-x,y,-z'
'x,-y,z'
loop_
_atom_site_label
_atom_site_type_symbol
_atom_site_fract_x
_atom_site_fract_y
_atom_site_fract_z
Pa1 Pa 0.250 0.000 0.104
Mn1 Mn 0.250 0.000 0.740
Al1 Al 0.000 0.000 0.500
Al2 Al 0.062 0.500 0.804
Al3 Al 0.250 0.500 0.454

[2]
# BeCdPt2 GGA-PBE optimized geometry
# **Theoretical density**: 14087 kg/m³
# **Total energy**: -4.454 eV per atom
# **E_form**: -0.273 eV/atom
# **D(E_F)**: 0.326 states/eV per atom
data_BeCdPt2
_cell_length_a 4.073
_cell_length_b 4.073
_cell_length_c 7.270
_cell_angle_alpha 90.00
_cell_angle_beta 90.00
_cell_angle_gamma 90.00
_space_group_name_H-M_alt 'I 4/m m m'
_space_group_IT_number 139
_space_group_name_Hall '-I 4 2'
loop_
_atom_site_label
_atom_site_type_symbol
_atom_site_fract_x
_atom_site_fract_y
_atom_site_fract_z
Be1 Be 0.000 0.000 0.000
Cd1 Cd 0.000 0.000 0.500
Pt1 Pt 0.000 0.500 0.250

[3]
# Sr2MnPdN GGA-PBE optimized geometry
# **ΔE_f (raw)**: -0.44 eV per atom
# **Theoretical density**: 5325 kg/m³
# **Total energy**: -5.651 eV per atom
# **D(E_F)**: 0.452 states/eV per atom
data_Sr2MnPdN
_cell_length_a 5.414
_cell_length_b 5.414
_cell_length_c 3.731
_cell_angle_alpha 90.00
_cell_angle_beta 90.00
_cell_angle_gamma 90.00
_space_group_name_H-M_alt 'P 4/m m m'
_space_group_IT_number 123
_space_group_name_Hall '-P 4 2'
loop_
_atom_site_label
_atom_site_type_symbol
_atom_site_fract_x
_atom_site_fract_y
_atom_site_fract_z
Sr1 Sr 0.000 0.500 0.000
Mn1 Mn 0.000 0.000 0.500
Pd1 Pd 0.500 0.500 0.500
N1 N 0.000 0.000 0.000

[4]
# AcPm6Pr3 GGA-PBE optimized geometry
# **Theoretical density**: 6869 kg/m³
# **Total energy**: -4.495 eV per atom
# **E_form**: 0.200 eV/atom
# **D(E_F)**: 1.645 states/eV per atom
data_AcPm6Pr3
_cell_length_a 13.770
_cell_length_b 14.895
_cell_length_c 7.164
_cell_angle_alpha 90.00
_cell_angle_beta 90.00
_cell_angle_gamma 90.00
_space_group_name_H-M_alt 'C m c 21'
_space_group_IT_number 36
loop_
_space_group_symop_operation_xyz
'x,y,z'
'-x,-y,z+1/2'
'-x,y,z'
'x,-y,z+1/2'
'x+1/2,y+1/2,z'
'-x+1/2,-y+1/2,z+1/2'
'-x+1/2,y+1/2,z'
'x+1/2,-y+1/2,z+1/2'
loop_
_atom_site_label
_atom_site_type_symbol
_atom_site_fract_x
_atom_site_fract_y
_atom_site_fract_z
Ac1 Ac 0.000 0.198 0.000
Pm1 Pm 0.000 0.005 0.732
Pm2 Pm 0.000 0.208 0.494
Pm3 Pm 0.116 0.389 0.690
Pm4 Pm 0.233 0.289 0.285
Pr1 Pr 0.000 0.409 0.214
Pr2 Pr 0.213 0.028 0.479

[5]
# InNi2TePb GGA-PBE optimized geometry
# **ΔE_f (raw)**: 0.84 eV per atom
# **Theoretical density**: 7007 kg/m³
# **Total energy**: -3.395 eV per atom
# **D(E_F)**: 1.064 states/eV per atom
data_InNi2TePb
_cell_length_a 4.802
_cell_length_b 4.802
_cell_length_c 5.828
_cell_angle_alpha 90.00
_cell_angle_beta 90.00
_cell_angle_gamma 90.00
_space_group_name_H-M_alt 'P 4/m m m'
_space_group_IT_number 123
_space_group_name_Hall '-P 4 2'
loop_
_atom_site_label
_atom_site_type_symbol
_atom_site_fract_x
_atom_site_fract_y
_atom_site_fract_z
In1 In 0.000 0.000 0.000
Ni1 Ni 0.000 0.500 0.000
Te1 Te 0.500 0.500 0.500
Pb1 Pb 0.000 0.000 0.500

[6]
# Li2Zr2TaS6 GGA-PBE optimized geometry
# **ΔE_f (raw)**: -1.38 eV per atom
# **Theoretical density**: 4565 kg/m³
# **Total energy**: -6.611 eV per atom
# **D(E_F)**: 0.401 states/eV per atom
data_Li2Zr2TaS6
_cell_length_a 6.140
_cell_length_b 10.616
_cell_length_c 6.686
_cell_angle_alpha 90.00
_cell_angle_beta 108.02
_cell_angle_gamma 90.00
_space_group_name_H-M_alt 'C 1 2/m 1'
_space_group_IT_number 12
loop_
_space_group_symop_operation_xyz
'x,y,z'
'-x,-y,-z'
'-x,y,-z'
'x,-y,z'
'x+1/2,y+1/2,z'
'-x+1/2,-y+1/2,-z'
'-x+1/2,y+1/2,-z'
'x+1/2,-y+1/2,z'
loop_
_atom_site_label
_atom_site_type_symbol
_atom_site_fract_x
_atom_site_fract_y
_atom_site_fract_z
Li1 Li 0.000 0.170 0.000
Zr1 Zr 0.000 0.334 0.500
Ta1 Ta 0.000 0.000 0.500
S1 S 0.240 0.000 0.255
S2 S 0.244 0.161 0.744

[7]
# AcPmAg GGA-PBE optimized geometry
# **Theoretical density**: 8086 kg/m³
# **Total energy**: -3.910 eV per atom
# **E_form**: -0.006 eV/atom
# **D(E_F)**: 1.209 states/eV per atom
data_AcPmAg
_cell_length_a 5.2437
_cell_length_b 5.2437
_cell_length_c 4.1386
_cell_angle_alpha 90.00
_cell_angle_beta 90.00
_cell_angle_gamma 120.00
_space_group_name_H-M_alt 'P 3 m 1'
_space_group_IT_number 156
loop_
_space_group_symop_operation_xyz
'x,y,z'
'-y,x-y,z'
'-x+y,-x,z'
'-y,-x,z'
'-x+y,y,z'
'x,x-y,z'
loop_
_atom_site_label
_atom_site_type_symbol
_atom_site_fract_x
_atom_site_fract_y
_atom_site_fract_z
Ac1 Ac 0.0000 0.0000 0.0000
Pm1 Pm 0.3333 0.6667 0.4737
Ag1 Ag 0.6667 0.3333 0.5781

[8]
# CsPbI2Br GGA-PBE optimized geometry
# **ΔE_f (raw)**: -1.10 eV per atom
# **Theoretical density**: 4620 kg/m³
# **Total energy**: -2.967 eV per atom
# **D(E_F)**: 0.000 states/eV per atom
data_CsPbI2Br
_cell_length_a 8.947
_cell_length_b 8.947
_cell_length_c 12.101
_cell_angle_alpha 90.00
_cell_angle_beta 90.00
_cell_angle_gamma 90.00
_space_group_name_H-M_alt 'I 4 c m'
_space_group_IT_number 108
_space_group_name_Hall 'I 4 -2c'
loop_
_atom_site_label
_atom_site_type_symbol
_atom_site_fract_x
_atom_site_fract_y
_atom_site_fract_z
Cs1 Cs 0.000 0.500 0.000
Pb1 Pb 0.000 0.000 0.249
I1 I 0.200 0.300 0.250
Br1 Br 0.000 0.000 0.499

[9]
# Hf3Pa GGA-PBE optimized geometry
# **Theoretical density**: 13967 kg/m³
# **Total energy**: -9.697 eV per atom
# **E_form**: 0.142 eV/atom
# **D(E_F)**: 1.777 states/eV per atom
data_Hf3Pa
_cell_length_a 7.143
_cell_length_b 7.143
_cell_length_c 7.143
_cell_angle_alpha 90.00
_cell_angle_beta 90.00
_cell_angle_gamma 90.00
_space_group_name_H-M_alt 'F m -3 m'
_space_group_IT_number 225
_space_group_name_Hall '-F 4 2 3'
loop_
_atom_site_label
_atom_site_type_symbol
_atom_site_fract_x
_atom_site_fract_y
_atom_site_fract_z
Hf1 Hf 0.000 0.000 0.000
Hf2 Hf 0.250 0.250 0.250
Pa1 Pa 0.000 0.000 0.500

[10]
# AcCuS2 GGA-PBE optimized geometry
# **ΔE_f (raw)**: -1.46 eV per atom
# **Theoretical density**: 6071 kg/m³
# **Total energy**: -5.572 eV per atom
data_AcCuS2
_cell_length_a 6.935
_cell_length_b 7.677
_cell_length_c 7.382
_cell_angle_alpha 90.00
_cell_angle_beta 99.17
_cell_angle_gamma 90.00
_space_group_name_H-M_alt 'P 1 21/c 1'
_space_group_IT_number 14
loop_
_space_group_symop_operation_xyz
'x,y,z'
'-x,-y,-z'
'-x,y+1/2,-z+1/2'
'x,-y+1/2,z+1/2'
loop_
_atom_site_label
_atom_site_type_symbol
_atom_site_fract_x
_atom_site_fract_y
_atom_site_fract_z
Ac1 Ac 0.187 0.051 0.293
Cu1 Cu 0.416 0.728 0.543
S1 S 0.084 0.734 0.509
S2 S 0.429 0.151 0.674

[11]
# TcMoAs GGA-PBE optimized geometry
# **Theoretical density**: 8727 kg/m³
# **Total energy**: -8.381 eV per atom
# **E_form**: 0.235 eV/atom
# **D(E_F)**: 1.042 states/eV per atom
data_TcMoAs
_cell_length_a 4.3729
_cell_length_b 4.3729
_cell_length_c 18.5351
_cell_angle_alpha 90.00
_cell_angle_beta 90.00
_cell_angle_gamma 120.00
_space_group_name_H-M_alt 'R -3 m'
_space_group_IT_number 166
_space_group_name_Hall '-R 3 2"'
loop_
_atom_site_label
_atom_site_type_symbol
_atom_site_fract_x
_atom_site_fract_y
_atom_site_fract_z
Tc1 Tc 0.0000 0.0000 0.1265
Mo1 Mo 0.0000 0.0000 0.4306
As1 As 0.0000 0.0000 0.2762

[12]
# NaAgN2F GGA-PBE optimized geometry
# **ΔE_f (raw)**: 1.27 eV per atom
# **Theoretical density**: 3425 kg/m³
# **Total energy**: -3.265 eV per atom
# **D(E_F)**: 0.198 states/eV per atom
data_NaAgN2F
_cell_length_a 4.621
_cell_length_b 4.621
_cell_length_c 4.037
_cell_angle_alpha 90.00
_cell_angle_beta 90.00
_cell_angle_gamma 90.00
_space_group_name_H-M_alt 'P 4/m m m'
_space_group_IT_number 123
_space_group_name_Hall '-P 4 2'
loop_
_atom_site_label
_atom_site_type_symbol
_atom_site_fract_x
_atom_site_fract_y
_atom_site_fract_z
Na1 Na 0.000 0.000 0.000
Ag1 Ag 0.500 0.500 0.500
N1 N 0.000 0.500 0.000
F1 F 0.000 0.000 0.500